{
  "formula": "LiCdMo4",
  "functional": "PBE-GGA",
  "state": "optimized geometry",
  "cell": [[0.000, 3.748, 3.748], [3.748, 0.000, 3.748], [3.748, 3.748, 0.000]],
  "species": ["Li", "Cd", "Mo", "Mo", "Mo", "Mo"],
  "fractional_positions": [[0.000, 0.000, 0.000], [0.250, 0.250, 0.250], [0.122, 0.626, 0.626], [0.626, 0.122, 0.626], [0.626, 0.626, 0.122], [0.626, 0.626, 0.626]],
  "delta_e_f_mev_per_atom": 539,
  "m_tot_mub_per_fu": 0.000,
  "final_energy_ev_per_cell": -42.9
}